Computed, not measured: a relaxed structure of Tl6In5Pb at the PBE level of DFT.

Output
V, Å³/atom: 29.365
Calculated density, Mg/m³: 9.460
Energy of formation from the pure elements, meV per atom: 33.5
Space-group type: No. 12
Total moment, μB/f.u.: 0.00
E, eV for the cell shown: -31.2

Geometry as POSCAR:
```
Tl6In5Pb
1.0
5.473 -7.034 0.000
5.473 7.034 0.000
-2.422 0.000 4.577
Tl In Pb
6 5 1
direct
0.078 0.413 0.246 Tl
0.249 0.249 0.749 Tl
0.413 0.078 0.246 Tl
0.587 0.922 0.754 Tl
0.751 0.751 0.251 Tl
0.922 0.587 0.754 Tl
0.000 0.000 0.000 In
0.170 0.830 0.500 In
0.334 0.666 0.000 In
0.666 0.334 0.000 In
0.830 0.170 0.500 In
0.500 0.500 0.500 Pb
```